(1)
The following is a DFT calculation (PBE) of crystalline La3Nd3Tl2Sn at its relaxed geometry.

a = 8.7729 Å, b = 8.7729 Å, c = 4.4610 Å
α = 90.00°, β = 90.00°, γ = 120.00°
Space group P-62m (No. 189)
One atom of each set of equivalent atoms:
La: 0.0000 0.7262 0.0000 (multiplicity 3)
Nd: 0.0000 0.3990 0.5000 (multiplicity 3)
Tl: 0.3333 0.6667 0.0000 (multiplicity 2)
Sn: 0.0000 0.0000 0.5000 (multiplicity 1)

Energy of formation from the pure elements = -366 meV/atom



(2)
The following is a DFT calculation (PBE) of crystalline SrLaNd2 at its relaxed geometry.

a = 8.561 Å, b = 8.561 Å, c = 8.561 Å
α = 90.00°, β = 90.00°, γ = 90.00°
Space group Fm-3m (No. 225)
One atom of each set of equivalent atoms:
Sr: 0.000 0.000 0.000 (multiplicity 4)
La: 0.000 0.000 0.500 (multiplicity 4)
Nd: 0.250 0.250 0.250 (multiplicity 8)

Energy of formation from the pure elements = 210 meV/atom



(3)
The following is a DFT calculation (PBE) of crystalline SrLa6Nd12 at its relaxed geometry.

a = 13.8716 Å, b = 13.8716 Å, c = 12.9790 Å
α = 90.00°, β = 90.00°, γ = 120.00°
Space group R-3m (No. 166, hexagonal axes)
One atom of each set of equivalent atoms:
Sr: 0.0000 0.0000 0.0000 (multiplicity 3)
La: 0.0345 0.5173 0.6150 (multiplicity 18)
Nd: 0.0000 0.2594 0.5000 (multiplicity 18)
Nd: 0.0922 0.1843 0.2665 (multiplicity 18)

Energy of formation from the pure elements = 187 meV/atom



(4)
The following is a DFT calculation (PBE) of crystalline SrLaNd2 at its relaxed geometry.

a = 5.360 Å, b = 5.360 Å, c = 5.402 Å
α = 90.00°, β = 90.00°, γ = 90.00°
Space group P4/mmm (No. 123)
One atom of each set of equivalent atoms:
Sr: 0.000 0.000 0.000 (multiplicity 1)
La: 0.500 0.500 0.000 (multiplicity 1)
Nd: 0.000 0.500 0.500 (multiplicity 2)

Energy of formation from the pure elements = 144 meV/atom



(5)
The following is a DFT calculation (PBE) of crystalline SrLaNd2 at its relaxed geometry.

a = 3.7153 Å, b = 3.7153 Å, c = 39.6224 Å
α = 90.00°, β = 90.00°, γ = 120.00°
Space group R-3m (No. 166, hexagonal axes)
One atom of each set of equivalent atoms:
Sr: 0.0000 0.0000 0.0000 (multiplicity 3)
La: 0.0000 0.0000 0.5000 (multiplicity 3)
Nd: 0.0000 0.0000 0.0916 (multiplicity 6)

Energy of formation from the pure elements = 171 meV/atom



(6)
The following is a DFT calculation (PBE) of crystalline SrLaNd2 at its relaxed geometry.

a = 3.7969 Å, b = 3.7969 Å, c = 37.5491 Å
α = 90.00°, β = 90.00°, γ = 120.00°
Space group R3m (No. 160, hexagonal axes)
One atom of each set of equivalent atoms:
Sr: 0.0000 0.0000 0.0000 (multiplicity 3)
La: 0.0000 0.0000 0.1656 (multiplicity 3)
Nd: 0.0000 0.0000 0.5777 (multiplicity 3)
Nd: 0.0000 0.0000 0.7543 (multiplicity 3)

Energy of formation from the pure elements = 82 meV/atom



(7)
The following is a DFT calculation (PBE) of crystalline SrLa6Nd2 at its relaxed geometry.

a = 6.131 Å, b = 7.328 Å, c = 15.352 Å
α = 90.00°, β = 90.00°, γ = 90.00°
Space group Immm (No. 71)
One atom of each set of equivalent atoms:
Sr: 0.000 0.000 0.000 (multiplicity 2)
La: 0.000 0.209 0.500 (multiplicity 4)
La: 0.000 0.226 0.283 (multiplicity 8)
Nd: 0.000 0.500 0.104 (multiplicity 4)

Energy of formation from the pure elements = 249 meV/atom



(8)
The following is a DFT calculation (PBE) of crystalline SrLaNd at its relaxed geometry.

a = 7.076 Å, b = 3.696 Å, c = 9.598 Å
α = 90.00°, β = 90.00°, γ = 90.00°
Space group Pmma (No. 51)
One atom of each set of equivalent atoms:
Sr: 0.250 0.000 0.139 (multiplicity 2)
La: 0.250 0.500 0.768 (multiplicity 2)
Nd: 0.000 0.000 0.500 (multiplicity 2)

Energy of formation from the pure elements = 190 meV/atom



(9)
The following is a DFT calculation (PBE) of crystalline SrLaNd at its relaxed geometry.

a = 3.842 Å, b = 3.842 Å, c = 16.672 Å
α = 90.00°, β = 90.00°, γ = 90.00°
Space group I4mm (No. 107)
One atom of each set of equivalent atoms:
Sr: 0.000 0.000 0.000 (multiplicity 2)
La: 0.000 0.000 0.318 (multiplicity 2)
Nd: 0.000 0.000 0.676 (multiplicity 2)

Energy of formation from the pure elements = 77 meV/atom



(10)
The following is a DFT calculation (PBE) of crystalline SrLaNd at its relaxed geometry.

a = 4.341 Å, b = 4.341 Å, c = 13.306 Å
α = 90.00°, β = 90.00°, γ = 90.00°
Space group P4/nmm (No. 129, origin choice 2)
One atom of each set of equivalent atoms:
Sr: 0.250 0.250 0.110 (multiplicity 2)
La: 0.250 0.250 0.439 (multiplicity 2)
Nd: 0.250 0.250 0.704 (multiplicity 2)

Energy of formation from the pure elements = 119 meV/atom



(11)
The following is a DFT calculation (PBE) of crystalline SrLaNd2 at its relaxed geometry.

a = 3.782 Å, b = 3.782 Å, c = 10.974 Å
α = 90.00°, β = 90.00°, γ = 90.00°
Space group P4/mmm (No. 123)
One atom of each set of equivalent atoms:
Sr: 0.000 0.000 0.000 (multiplicity 1)
La: 0.000 0.000 0.500 (multiplicity 1)
Nd: 0.500 0.500 0.273 (multiplicity 2)

Energy of formation from the pure elements = 84 meV/atom



(12)
The following is a DFT calculation (PBE) of crystalline SrLaNd at its relaxed geometry.

a = 3.8531 Å, b = 3.8531 Å, c = 9.5798 Å
α = 90.00°, β = 90.00°, γ = 120.00°
Space group P3m1 (No. 156)
One atom of each set of equivalent atoms:
Sr: 0.0000 0.0000 0.0000 (multiplicity 1)
La: 0.3333 0.6667 0.6429 (multiplicity 1)
Nd: 0.6667 0.3333 0.3456 (multiplicity 1)

Energy of formation from the pure elements = 92 meV/atom



Question: Which of these has the highest energy of formation from the pure elements?
Answer: SrLa6Nd2